1.
Computed, not measured: a geometry-optimized TlOsPb2 structure at the PBE level of DFT.

POSCAR file:
```
TlOsPb2
1.0
-2.797 -2.897 0.138
0.137 -3.846 -1.193
2.348 -3.648 7.777
Pb Tl Os
2 1 1
Cartesian
-0.330 -5.083 2.898 Pb
-2.487 -6.856 -0.593 Pb
-0.234 -7.794 5.041 Tl
-0.078 -2.598 1.680 Os
```

The total energy comes out at -4.637 eV/atom. The space group is C2/m (12). The calculation puts the magnetization at 0.0 Bohr magnetons per cell. Its crystal system is monoclinic. As for the energy above the most stable polymorph in this dataset: 0.1451 eV/atom.

---

2.
Computed, not measured: a geometry-optimized BeVSCl2 structure at the PBE level of DFT.

POSCAR file:
```
BeVSCl2
1.0
-1.232 -3.825 1.212
1.776 0.617 3.752
-4.395 1.972 1.756
Cl Be S V
2 1 1 1
Cartesian
-0.616 -1.912 0.606 Cl
0.888 0.308 1.876 Cl
0.000 0.000 0.000 Be
-2.197 0.986 0.878 S
-1.925 -0.618 3.360 V
```

The total energy comes out at -4.323 eV/atom. Its formation energy from raw total energies is -0.1898 eV/atom. The space group is P4/mmm (123). The calculation puts the magnetization at 3.0 Bohr magnetons per cell. Its crystal system is tetragonal. As for the energy above the most stable polymorph in this dataset: 0.0000 eV/atom.

---

3.
Computed, not measured: a geometry-optimized PmCuO structure at the PBE level of DFT.

POSCAR file:
```
PmCuO
1.0
-1.021 -1.267 3.680
0.507 -3.815 -1.174
3.637 2.686 -0.265
Cu O Pm
1 1 1
Cartesian
3.107 -2.397 2.237 Cu
1.829 0.078 0.535 O
0.294 -2.518 1.414 Pm
```

The total energy comes out at -5.456 eV/atom. Its formation energy from raw total energies is -0.8545 eV/atom. The space group is I4mm (107). The calculation puts the magnetization at 0.0 Bohr magnetons per cell. Its crystal system is tetragonal. As for the energy above the most stable polymorph in this dataset: 0.7504 eV/atom.

---

4.
Computed, not measured: a geometry-optimized BaTaSe2 structure at the PBE level of DFT.

POSCAR file:
```
BaTaSe2
1.0
-1.878 -4.046 2.161
3.551 -1.450 0.372
2.271 1.822 5.385
Se Ta Ba
2 1 1
Cartesian
1.239 -1.913 3.178 Se
0.228 -0.059 0.087 Se
2.154 -0.011 1.852 Ta
3.235 -1.503 5.680 Ba
```

The total energy comes out at -5.926 eV/atom. Its formation energy from raw total energies is -0.7402 eV/atom. The space group is Amm2 (38). The calculation puts the magnetization at 0.0 Bohr magnetons per cell. Its crystal system is orthorhombic. As for the energy above the most stable polymorph in this dataset: 0.0828 eV/atom.

---

5.
Computed, not measured: a geometry-optimized RbPmReN3 structure at the PBE level of DFT.

POSCAR file:
```
RbPmReN3
1.0
-2.718 2.674 0.979
-3.517 -6.156 -0.865
2.574 -0.240 7.801
Pm Rb N Re
2 2 6 2
Cartesian
-2.218 -3.360 3.020 Pm
-1.444 -0.362 4.895 Pm
-1.113 -3.693 6.998 Rb
-2.548 -0.028 0.917 Rb
-4.394 -2.275 1.931 N
-0.549 -1.595 2.832 N
-3.066 -4.875 4.804 N
-0.595 1.154 3.112 N
0.732 -1.446 5.984 N
-3.112 -2.126 5.083 N
-4.486 -3.591 5.269 Re
0.825 -0.131 2.646 Re
```

The total energy comes out at -7.682 eV/atom. Its formation energy from raw total energies is -0.4921 eV/atom. The space group is C2/m (12). The calculation puts the magnetization at 0.0 Bohr magnetons per cell. Its crystal system is monoclinic.

---

6.
Computed, not measured: a geometry-optimized Sc2Zn2Au structure at the PBE level of DFT.

POSCAR file:
```
Sc2Zn2Au
1.0
-0.660 -0.943 3.283
-2.790 -1.781 -1.073
2.983 -8.136 0.107
Zn Sc Au
2 2 1
Cartesian
0.299 -5.220 2.248 Zn
-0.766 -5.639 0.070 Zn
-0.792 -2.705 0.907 Sc
0.325 -8.155 1.410 Sc
0.000 0.000 0.000 Au
```

The total energy comes out at -3.935 eV/atom. The space group is I4/mmm (139). The calculation puts the magnetization at 0.0 Bohr magnetons per cell. Its crystal system is tetragonal. As for the energy above the most stable polymorph in this dataset: 0.2710 eV/atom.

---

7.
Computed, not measured: a geometry-optimized NbNiMo structure at the PBE level of DFT.

POSCAR file:
```
NbNiMo
1.0
-0.929 -0.004 -3.123
2.688 -1.661 -0.797
-2.979 -2.866 2.590
Mo Nb Ni
1 1 1
Cartesian
-1.158 -2.041 0.347 Mo
-1.017 -4.174 -1.391 Nb
0.365 -1.738 -1.806 Ni
```

The total energy comes out at -8.775 eV/atom. The space group is I4mm (107). The calculation puts the magnetization at 0.0 Bohr magnetons per cell. Its crystal system is tetragonal. As for the energy above the most stable polymorph in this dataset: 0.2008 eV/atom.

---

8.
Computed, not measured: a geometry-optimized Dy2Sc3S4 structure at the PBE level of DFT.

POSCAR file:
```
Dy2Sc3S4
1.0
3.734 0.000 0.002
-1.867 3.234 -0.002
-0.007 0.004 15.199
S Sc Dy
4 3 2
Cartesian
3.730 0.002 4.868 S
-0.006 2.159 13.713 S
-1.870 3.236 10.331 S
1.866 1.079 1.487 S
0.000 0.000 0.000 Sc
1.863 1.080 6.309 Sc
-0.003 2.157 8.890 Sc
1.863 1.080 12.003 Dy
-0.003 2.157 3.196 Dy
```

The total energy comes out at -6.664 eV/atom. Its formation energy from raw total energies is -1.6961 eV/atom. The space group is P-3m1 (164). The calculation puts the magnetization at 0.0 Bohr magnetons per cell. Its crystal system is trigonal.

---

9.
Computed, not measured: a geometry-optimized Sm2CuPtO6 structure at the PBE level of DFT.

POSCAR file:
```
Sm2CuPtO6
1.0
5.405 0.044 0.031
2.730 5.152 0.411
2.729 2.072 4.733
Cu O Sm Pt
1 6 2 1
Cartesian
8.145 5.384 2.971 Cu
4.047 4.049 3.639 O
4.107 1.521 1.861 O
4.050 5.578 1.494 O
6.835 5.144 4.417 O
7.575 3.418 1.573 O
5.985 2.195 3.958 O
2.851 2.012 3.828 Sm
5.302 3.558 1.672 Sm
2.713 1.749 0.384 Pt
```

The total energy comes out at -6.903 eV/atom. Its formation energy from raw total energies is -1.9708 eV/atom. The space group is C2/m (12). The calculation puts the magnetization at 1.0 Bohr magnetons per cell. Its crystal system is monoclinic.

---

10.
Computed, not measured: a geometry-optimized SiAgPb2 structure at the PBE level of DFT.

POSCAR file:
```
SiAgPb2
1.0
7.793 0.018 0.049
-3.161 4.412 -0.073
1.471 1.054 2.817
Pb Si Ag
2 1 1
Cartesian
4.632 0.536 1.433 Pb
0.000 0.000 0.000 Pb
-0.845 2.733 1.372 Si
2.316 2.215 -0.012 Ag
```

The total energy comes out at -3.575 eV/atom. Its formation energy from raw total energies is 0.3480 eV/atom. The space group is C2/m (12). The calculation puts the magnetization at 0.0 Bohr magnetons per cell. Its crystal system is monoclinic.

---

11.
Computed, not measured: a geometry-optimized NbVSiS2 structure at the PBE level of DFT.

POSCAR file:
```
NbVSiS2
1.0
4.677 0.000 0.000
0.000 4.973 0.000
0.000 0.000 4.677
S V Si Nb
2 1 1 1
Cartesian
2.338 0.000 0.000 S
0.000 0.000 2.338 S
0.000 2.487 0.000 V
2.338 2.487 2.338 Si
0.000 0.000 0.000 Nb
```

The total energy comes out at -5.807 eV/atom. Its formation energy from raw total energies is 0.7661 eV/atom. The space group is P4/mmm (123). The calculation puts the magnetization at 0.0 Bohr magnetons per cell. Its crystal system is tetragonal.

---

12.
Computed, not measured: a geometry-optimized BeNb2Cr structure at the PBE level of DFT.

POSCAR file:
```
BeNb2Cr
1.0
-4.875 -4.715 0.267
2.940 -2.730 5.475
-2.407 -2.146 4.429
Nb Be Cr
4 2 2
Cartesian
-2.530 -4.402 5.477 Nb
-3.280 -3.823 1.958 Nb
-3.500 -8.123 8.344 Nb
0.625 -2.834 4.562 Nb
-0.217 -4.299 6.387 Be
-0.968 -3.722 2.871 Be
0.000 0.000 0.000 Cr
-4.125 -5.292 3.783 Cr
```

The total energy comes out at -7.783 eV/atom. The space group is I-42d (122). The calculation puts the magnetization at 0.0 Bohr magnetons per cell. Its crystal system is tetragonal.